# 1
Sr2Li2Pd3: relaxed, PBE.

a b c (Å): 9.2646 4.8540 8.1361
angles (deg): 90.00 123.87 90.00
Space group C2/m (No. 12)
Inequivalent atoms, fractional coordinates:
Sr (0.2454, 0.0000, 0.3229) [4 per cell]
Li (0.1721, 0.0000, 0.8785) [4 per cell]
Pd (0.0000, 0.0000, 0.5000) [2 per cell]
Pd (0.0048, 0.5000, 0.8334) [4 per cell]

Values from the calculation:
ΔE to the lowest computed polymorph: 29 meV/atom
Calculated formation energy: -0.4061 eV/atom

# 2
CsScP2O: relaxed, PBE.

a b c (Å): 5.3209 5.3209 4.2277
angles (deg): 90.00 90.00 90.00
Space group P4/mmm (No. 123)
Inequivalent atoms, fractional coordinates:
Cs (0.0000, 0.0000, 0.0000) [1 per cell]
Sc (0.5000, 0.5000, 0.5000) [1 per cell]
P (0.0000, 0.5000, 0.0000) [2 per cell]
O (0.0000, 0.0000, 0.5000) [1 per cell]

Values from the calculation:
Formation energy (no corrections): 1004 meV/atom

# 3
AcLaAl3: relaxed, PBE.

a b c (Å): 4.6710 27.4778 4.4560
angles (deg): 90.00 90.00 90.00
Space group Cmcm (No. 63)
Inequivalent atoms, fractional coordinates:
Ac (0.0000, 0.0728, 0.2500) [4 per cell]
La (0.0000, 0.2035, 0.7500) [4 per cell]
Al (0.0000, 0.3280, 0.7500) [4 per cell]
Al (0.0000, 0.3805, 0.2500) [4 per cell]
Al (0.0000, 0.4760, 0.2500) [4 per cell]

Values from the calculation:
Calculated formation energy: -0.3826 eV/atom

# 4
Y7Ho3Tm: relaxed, PBE.

a b c (Å): 12.5323 11.2341 5.7826
angles (deg): 90.00 117.41 90.00
Space group C2/m (No. 12)
Inequivalent atoms, fractional coordinates:
Y (0.0000, 0.0000, 0.0000) [2 per cell]
Y (0.1952, 0.2957, 0.6949) [8 per cell]
Y (0.2071, 0.5000, 0.2058) [4 per cell]
Ho (0.0000, 0.2920, 0.0000) [4 per cell]
Ho (0.0000, 0.5000, 0.5000) [2 per cell]
Tm (0.0000, 0.0000, 0.5000) [2 per cell]

Values from the calculation:
ΔE to the lowest computed polymorph: 124 meV/atom
Calculated formation energy: 0.2720 eV/atom

# 5
LiAc2H6Ru: relaxed, PBE.

a b c (Å): 5.3766 5.3766 5.0839
angles (deg): 90.00 90.00 120.00
Space group P-3m1 (No. 164)
Inequivalent atoms, fractional coordinates:
Li (0.0000, 0.0000, 0.0000) [1 per cell]
Ac (0.3333, 0.6667, 0.2670) [2 per cell]
H (0.1541, 0.3082, 0.7166) [6 per cell]
Ru (0.0000, 0.0000, 0.5000) [1 per cell]

# 6
GeHRuW2: relaxed, PBE.

a b c (Å): 4.9266 4.9266 4.7574
angles (deg): 90.00 90.00 90.00
Space group P4/mmm (No. 123)
Inequivalent atoms, fractional coordinates:
Ge (0.0000, 0.0000, 0.0000) [1 per cell]
H (0.5000, 0.5000, 0.0000) [1 per cell]
Ru (0.0000, 0.0000, 0.5000) [1 per cell]
W (0.0000, 0.5000, 0.5000) [2 per cell]

Number 1: E -51.23 eV/cell. Number 2: E -17.94 eV/cell. Number 3: E -88.71 eV/cell. Number 4: E -120.92 eV/cell. Number 5: E -43.28 eV/cell. Number 6: E -32.46 eV/cell.